[1]
First-principles (PBE-GGA) data for crystalline TaZn2In at its relaxed geometry, as listed in Alexandria.

Computed properties:
Magnetization, μB/cell: 0.00
Space group: P4/mmm (123)
DFT total energy, eV/atom: -4.2158

Unit cell a=4.118 b=4.118 c=4.011 alpha=90.00 beta=90.00 gamma=90.00
Atoms (fractional coordinates):
In: 0.500 0.000 0.500
Ta: 0.000 0.500 0.500
Zn: 0.000 0.000 0.000
Zn: 0.500 0.500 0.000

=====

[2]
First-principles (PBE-GGA) data for crystalline ScNbPt2 at its relaxed geometry, as listed in Alexandria.

Computed properties:
Magnetization, μB/cell: 0.00
Space group: I-42d (122)
DFT total energy, eV/atom: -7.3068

Unit cell a=4.164 b=4.164 c=9.348 alpha=77.13 beta=77.13 gamma=90.00
Atoms (fractional coordinates):
Sc: 0.500 0.500 0.000
Sc: 0.250 0.750 0.500
Nb: 0.000 0.000 0.000
Nb: 0.750 0.250 0.500
Pt: 0.628 0.125 0.250
Pt: 0.122 0.625 0.250
Pt: 0.375 0.372 0.750
Pt: 0.875 0.878 0.750

=====

[3]
First-principles (PBE-GGA) data for crystalline YSn2Pb at its relaxed geometry, as listed in Alexandria.

Computed properties:
Magnetization, μB/cell: 0.00
Space group: Cmmm (65)
DFT total energy, eV/atom: -4.8620

Unit cell a=3.643 b=5.611 c=5.611 alpha=76.86 beta=90.06 gamma=90.06
Atoms (fractional coordinates):
Y: 0.500 0.500 0.000
Sn: 0.000 0.000 0.000
Sn: 0.000 0.500 0.500
Pb: 0.500 0.000 0.500